Record 1
This record from Alexandria describes a relaxed structure of Y2Al3GePt4. The functional is GGA-PBE.

Output
- D(E_F): 0.354 states/eV per atom
- Formation energy from the elements: -1081.2 meV per atom
- Spin magnetization: 0.0 μB/f.u.

```
Y2Al3GePt4
1.0
-2.0244 2.7641 -2.3608
-3.5567 -0.9482 1.9397
1.9258 7.5995 7.2462
Al Pt Ge Y
3 4 1 2
Direct
0.0000 0.0000 0.5000
0.0000 0.5000 0.1328
0.5000 0.0000 0.8672
0.5000 0.5000 0.0000
0.0000 0.0000 0.0000
0.5000 0.0000 0.6379
0.0000 0.5000 0.3621
0.5000 0.5000 0.5000
0.5000 0.0000 0.2562
0.0000 0.5000 0.7438
```



Record 2
This record from Alexandria describes a relaxed structure of TlOs2Se. The functional is GGA-PBE.

Output
- D(E_F): 0.869 states/eV per atom
- E_form (uncorrected): 0.96 eV/atom
- Spin magnetization: 0.0 μB/f.u.
- Energy above the most stable polymorph in this dataset: 47.69 kJ/mol of atoms

```
TlOs2Se
1.0
-4.3779 -3.1008 -2.2076
-2.5362 -4.3402 2.8957
1.4153 5.6082 -0.4467
Os Tl Se
2 1 1
Direct
0.9689 0.9689 0.0000
0.7509 0.2509 0.5000
0.2475 0.7475 0.5000
0.5327 0.5327 0.0000
```



Record 3
This record from Alexandria describes a relaxed structure of Th2H2Pb. The functional is GGA-PBE.

Output
- D(E_F): 0.698 states/eV per atom
- Spin magnetization: 0.0 μB/f.u.
- Energy above the most stable polymorph in this dataset: 0.00 kJ/mol of atoms

```
Th2H2Pb
1.0
-4.4989 3.6976 -2.0800
-1.5643 -4.3490 4.1082
3.9530 4.0886 3.4418
Th H Pb
4 4 2
Direct
0.2074 0.2926 0.7500
0.7926 0.7074 0.2500
0.5728 0.9272 0.7500
0.4272 0.0728 0.2500
0.4838 0.7557 0.0174
0.2557 0.9838 0.5174
0.5162 0.2443 0.9826
0.7443 0.0162 0.4826
0.8863 0.6137 0.7500
0.1137 0.3863 0.2500
```



Record 4
This record from Alexandria describes a relaxed structure of IrAu. The functional is GGA-PBE.

Output
- D(E_F): 1.521 states/eV per atom
- Formation energy from the elements: 636.9 meV per atom
- Spin magnetization: 0.8 μB/f.u.
- Energy above the most stable polymorph in this dataset: 43.45 kJ/mol of atoms

```
IrAu
1.0
-2.4426 2.0556 -0.1487
-1.3085 -1.7249 -2.3509
-1.5924 -1.7359 2.1599
Ir Au
1 1
Direct
0.5000 0.5000 0.5000
0.0000 0.0000 0.0000
```



Record 5
This record from Alexandria describes a relaxed structure of Nd3TlZn. The functional is GGA-PBE.

Output
- D(E_F): 1.236 states/eV per atom
- Formation energy from the elements: -236.4 meV per atom
- Spin magnetization: 0.9 μB/f.u.
- Energy above the most stable polymorph in this dataset: 0.00 kJ/mol of atoms

```
Nd3TlZn
1.0
-2.8961 -2.4285 -3.8662
4.2643 -3.0693 -1.2663
-4.4778 -8.1601 4.6995
Zn Tl Nd
2 2 6
Direct
0.1717 0.2500 0.3049
0.4766 0.7500 0.6951
0.9799 0.2500 0.6885
0.6684 0.7500 0.3115
0.8869 0.7500 0.8746
0.5747 0.2500 0.4989
0.2609 0.7500 0.1266
0.0737 0.7500 0.5011
0.7615 0.2500 0.1254
0.3875 0.2500 0.8734
```



Record 6
This record from Alexandria describes a relaxed structure of Rb2InW. The functional is GGA-PBE.

Output
- D(E_F): 0.894 states/eV per atom
- Formation energy from the elements: 1527.6 meV per atom
- Spin magnetization: 1.1 μB/f.u.

```
Rb2InW
1.0
-2.9916 -1.3489 -2.7872
-1.9650 -2.1682 3.1584
-9.6084 8.5700 2.8401
In Rb W
2 4 2
Direct
0.5000 0.5000 0.0000
0.2500 0.7500 0.5000
0.3750 0.3733 0.7500
0.1233 0.6250 0.2500
0.8750 0.8767 0.7500
0.6267 0.1250 0.2500
0.7500 0.2500 0.5000
0.0000 0.0000 0.0000
```



Record 7
This record from Alexandria describes a relaxed structure of Mg2Zr5O12. The functional is GGA-PBE.

Output
- D(E_F): 0.000 states/eV per atom
- E_form (uncorrected): -3.18 eV/atom
- Spin magnetization: 0.0 μB/f.u.

```
Mg2Zr5O12
1.0
6.1377 0.0038 0.0070
-0.9572 6.1682 -0.0064
-2.0546 -2.4043 12.1583
O Zr Mg
24 10 4
Direct
0.0595 0.8891 0.5909
0.5865 0.4181 0.8400
0.5718 0.8124 0.9597
0.8135 0.4217 0.5390
0.1865 0.5783 0.4610
0.4212 0.1807 0.5438
0.9331 0.0833 0.9104
0.6885 0.0524 0.6909
0.0669 0.9167 0.0896
0.3115 0.9476 0.3091
0.0895 0.3259 0.7184
0.5788 0.8193 0.4562
0.4282 0.1876 0.0403
0.0743 0.3185 0.2150
0.6637 0.0641 0.2094
0.1722 0.5469 0.9523
0.3363 0.9359 0.7906
0.4474 0.5869 0.6645
0.9105 0.6741 0.2816
0.9257 0.6815 0.7850
0.9405 0.1109 0.4091
0.5526 0.4131 0.3355
0.4135 0.5819 0.1600
0.8278 0.4531 0.0477
0.9864 0.9930 0.2523
0.8649 0.7000 0.9490
0.3870 0.8532 0.5878
0.7011 0.3850 0.6802
0.0136 0.0070 0.7477
0.6130 0.1468 0.4122
0.3220 0.6089 0.8192
0.6780 0.3911 0.1808
0.2989 0.6150 0.3198
0.1351 0.3000 0.0510
0.1380 0.3212 0.5460
0.4045 0.8635 0.0907
0.5955 0.1365 0.9093
0.8620 0.6788 0.4540
```



Record 8
This record from Alexandria describes a relaxed structure of Ca3Ce2UP6. The functional is GGA-PBE.

Output
- D(E_F): 0.981 states/eV per atom
- Formation energy from the elements: -1235.4 meV per atom
- Spin magnetization: 2.1 μB/f.u.

```
Ca3Ce2UP6
1.0
7.1306 -0.0004 -0.0005
-3.5639 6.1761 -0.0005
-1.1903 -2.0609 6.6350
Ca P Ce U
3 6 2 1
Direct
0.1683 0.8317 0.5000
0.8317 0.1683 0.5000
0.5000 0.5000 0.5000
0.0768 0.3982 0.2307
0.2444 0.2444 0.7713
0.7556 0.7556 0.2287
0.6018 0.9232 0.7693
0.9232 0.6018 0.7693
0.3982 0.0768 0.2307
0.6665 0.3335 0.0000
0.3335 0.6665 0.0000
0.0000 0.0000 0.0000
```